Material: HoEr6
Method: DFT, PBE
State: optimized geometry

ΔH_f (0 K) = 0.272 eV/atom
Size of the total moment = 0.00 μB/cell
Density = 8695 kg/m3
Density of states at the Fermi level = 9.528 states/eV/f.u.
Relative energy among the computed polymorphs = 0.000 eV per atom

Cell: 6.4142 6.4142 10.8482 Å, 90.00 90.00 90.00°
Closest atoms and distances in Å follow each position.
Atoms (fractional coordinates):
Ho 0.2500 0.7500 0.0000  8 Er 3.55
Ho 0.7500 0.2500 0.0000  8 Er 3.55
Er 0.0815 0.5815 0.3623  8 Er 3.06-3.39
Er 0.0815 0.9185 0.6377  8 Er 3.06-3.39
Er 0.2500 0.2500 0.1406  5 Er 3.05-3.39
Er 0.2500 0.2500 0.8594  5 Er 3.05-3.39
Er 0.4185 0.5815 0.6377  8 Er 3.06-3.39
Er 0.4185 0.9185 0.3623  8 Er 3.06-3.39
Er 0.5815 0.0815 0.6377  8 Er 3.06-3.39
Er 0.5815 0.4185 0.3623  8 Er 3.06-3.39
Er 0.7500 0.7500 0.1406  5 Er 3.05-3.39
Er 0.7500 0.7500 0.8594  5 Er 3.05-3.39
Er 0.9185 0.0815 0.3623  8 Er 3.06-3.39
Er 0.9185 0.4185 0.6377  8 Er 3.06-3.39